No. 1
CsHfCu2As: single point on PBEsol structure, meta-GGA SCAN.

abc: 4.790 4.790 5.078
angles: 90.00 90.00 90.00
Fractional positions:
Cs 0.000 0.000 0.000
Hf 0.500 0.500 0.000
Cu 0.000 0.500 0.500
Cu 0.500 0.000 0.500
As 0.500 0.500 0.500

Calculated values
Its density of states at the Fermi level is 0.33 states/eV per atom. The energy relative to the elements is 0.641 eV/atom.

---

No. 2
CsAsF2: single point on PBEsol structure, meta-GGA SCAN.

abc: 7.935 7.935 7.935
angles: 142.11 142.11 54.67
Fractional positions:
Cs 0.000 0.000 0.000
Cs 0.750 0.250 0.500
As 0.250 0.750 0.500
As 0.500 0.500 0.000
F 0.288 0.625 0.163
F 0.375 0.538 0.663
F 0.462 0.125 0.837
F 0.875 0.712 0.337

Calculated values
Its density of states at the Fermi level is 0.55 states/eV per atom. The value obtained for the uncorrected formation energy is -1.360 eV per atom.

---

No. 3
CsAsF6: single point on PBEsol structure, meta-GGA SCAN.

abc: 5.185 5.185 5.185
angles: 96.71 96.71 96.71
Fractional positions:
Cs 0.000 0.000 0.000
As 0.500 0.500 0.500
F 0.230 0.579 0.299
F 0.299 0.230 0.579
F 0.421 0.701 0.770
F 0.579 0.299 0.230
F 0.701 0.770 0.421
F 0.770 0.421 0.701

Calculated values
Its density of states at the Fermi level is 0.00 states/eV per atom. The value obtained for the uncorrected formation energy is -2.587 eV per atom.

---

No. 4
Cs3AsF: single point on PBEsol structure, meta-GGA SCAN.

abc: 6.758 6.758 6.758
angles: 90.00 90.00 90.00
Fractional positions:
Cs 0.000 0.000 0.500
Cs 0.000 0.500 0.000
Cs 0.500 0.000 0.000
As 0.000 0.000 0.000
F 0.500 0.500 0.500

Calculated values
Its density of states at the Fermi level is 0.33 states/eV per atom. The value obtained for the uncorrected formation energy is -0.798 eV per atom.

---

No. 5
CsAsOF2: single point on PBEsol structure, meta-GGA SCAN.

abc: 5.042 5.042 4.385
angles: 90.00 90.00 90.00
Fractional positions:
Cs 0.000 0.000 0.000
As 0.500 0.500 0.500
O 0.000 0.000 0.500
F 0.000 0.500 0.000
F 0.500 0.000 0.000

Calculated values
Its density of states at the Fermi level is 1.29 states/eV per atom. The value obtained for the uncorrected formation energy is 0.061 eV per atom.

---

No. 6
Cs2RbAsF: single point on PBEsol structure, meta-GGA SCAN.

abc: 5.450 5.450 6.853
angles: 90.00 90.00 90.00
Fractional positions:
Cs 0.000 0.500 0.000
Cs 0.500 0.000 0.000
Rb 0.000 0.000 0.500
As 0.500 0.500 0.500
F 0.500 0.500 0.000

Calculated values
Its density of states at the Fermi level is 0.57 states/eV per atom. The value obtained for the uncorrected formation energy is -0.944 eV per atom.